1.
Entry from Alexandria via LeMat-Bulk: a relaxed ZrTiMnPt crystal (PBE-GGA).

Cell: 4.5063 4.5063 4.5063 Å, 60.00 60.00 60.00°
Sites, in units of the cell vectors:
Zr 0.0000 0.0000 0.0000
Ti 0.5000 0.5000 0.5000
Mn 0.7500 0.7500 0.7500
Pt 0.2500 0.2500 0.2500

Output
Spin magnetization = 0.28 μB per formula unit
Crystal system = cubic
N(E_F) = 4.3 states/eV/f.u.
Electronic total energy = -8.39 eV/atom
SG = F-43m (216)
Calculated volume = 64.7 Å³/f.u.

2.
Entry from Alexandria via LeMat-Bulk: a relaxed MnTl2Pt crystal (PBE-GGA).

Cell: 4.8851 4.8851 4.8851 Å, 60.00 60.00 60.00°
Sites, in units of the cell vectors:
Mn 0.0000 0.0000 0.0000
Tl 0.2500 0.2500 0.2500
Tl 0.5000 0.5000 0.5000
Pt 0.7500 0.7500 0.7500

Output
Spin magnetization = 3.94 μB per formula unit
Energy above the most stable polymorph in this dataset = 230 meV per atom
Crystal system = cubic
N(E_F) = 2.3 states/eV/f.u.
Electronic total energy = -4.70 eV/atom
SG = F-43m (216)
Calculated volume = 82.4 Å³/f.u.

3.
Entry from Alexandria via LeMat-Bulk: a relaxed MnTl2Pt crystal (PBE-GGA).

Cell: 3.4182 4.7103 5.2186 Å, 90.00 92.14 90.00°
Sites, in units of the cell vectors:
Mn 0.0000 0.0000 0.0000
Tl 0.2622 0.5000 0.7491
Tl 0.7378 0.5000 0.2509
Pt 0.5000 0.0000 0.5000

Output
Spin magnetization = 3.94 μB per formula unit
Energy above the most stable polymorph in this dataset = 261 meV per atom
Crystal system = monoclinic
N(E_F) = 2.2 states/eV/f.u.
Electronic total energy = -4.67 eV/atom
SG = P2/m (10)
Calculated volume = 84.0 Å³/f.u.

4.
Entry from Alexandria via LeMat-Bulk: a relaxed MnTl2Pt crystal (PBE-GGA).

Cell: 3.3560 3.3560 7.9080 Å, 90.00 90.00 90.00°
Sites, in units of the cell vectors:
Mn 0.0000 0.0000 0.0000
Tl 0.0000 0.0000 0.3986
Tl 0.5000 0.5000 0.7461
Pt 0.5000 0.5000 0.1448

Output
Spin magnetization = 4.29 μB per formula unit
Energy above the most stable polymorph in this dataset = 0 meV per atom
Crystal system = tetragonal
N(E_F) = 1.8 states/eV/f.u.
Electronic total energy = -4.93 eV/atom
SG = P4mm (99)
Calculated volume = 89.1 Å³/f.u.